(1)
HgBRu2, relaxed, DFT PBE-GGA; crystal system = tetragonal; E_tot = -5.4919 eV per atom; density = 9.457 g/cm3; magnetization = 1.75 Bohr magnetons per cell
1.0
4.860 0.000 0.000
0.000 4.860 0.000
2.430 2.430 6.149
Ru Hg B
4 2 2
direct
0.875 0.731 0.750 Ru
0.481 0.125 0.250 Ru
0.375 0.519 0.750 Ru
0.269 0.625 0.250 Ru
0.000 0.000 0.000 Hg
0.750 0.250 0.500 Hg
0.500 0.500 0.000 B
0.250 0.750 0.500 B

=====

(2)
HgBRu2, relaxed, DFT PBE-GGA; crystal system = cubic; E_tot = -5.3957 eV per atom; density = 12.260 g/cm3; magnetization = 0.00 Bohr magnetons per cell
1.0
0.000 3.037 3.037
3.037 0.000 3.037
3.037 3.037 0.000
Hg B Ru
1 1 2
direct
0.500 0.500 0.500 Hg
0.000 0.000 0.000 B
0.750 0.750 0.750 Ru
0.250 0.250 0.250 Ru

=====

(3)
Hg2BRu, relaxed, DFT PBE-GGA; crystal system = tetragonal; E_tot = -2.8427 eV per atom; density = 11.899 g/cm3; magnetization = 1.96 Bohr magnetons per cell
1.0
-1.225 -3.424 -0.941
3.526 -1.056 -0.751
2.285 -5.288 8.766
Hg B Ru
4 2 2
direct
0.375 0.375 0.750 Hg
0.875 0.875 0.750 Hg
0.125 0.625 0.250 Hg
0.625 0.125 0.250 Hg
0.250 0.750 0.500 B
0.500 0.500 0.000 B
0.750 0.250 0.500 Ru
0.000 0.000 0.000 Ru

=====

(4)
Sc2HgBRu, relaxed, DFT PBE-GGA; crystal system = tetragonal; E_tot = -6.1727 eV per atom; density = 7.523 g/cm3; magnetization = 0.00 Bohr magnetons per cell
1.0
-1.781 -1.611 -4.076
-3.289 -2.417 2.393
-2.430 3.132 -0.176
B Hg Ru Sc
1 1 1 2
direct
0.000 0.000 0.000 B
0.500 0.500 0.500 Hg
0.000 0.000 0.500 Ru
0.500 0.000 0.000 Sc
0.000 0.500 0.000 Sc

=====

Q: Look up the density of the second one.
A: 12.260 g/cm3